Record 1
HfAgB2O6 | GGA-PBE | optimized geometry

The space group is C2/c (No. 15) and the conventional cell measures 7.368, 9.868 and 6.585 Å, with angles of 90.00, 109.43 and 90.00 degrees. Symmetry generates all atoms from Hf at (0.000, 0.068, 0.250), Ag at (0.000, 0.411, 0.750), B at (0.244, 0.159, 0.753), O at (0.089, 0.101, 0.591), O at (0.178, 0.435, 0.086) and O at (0.203, 0.210, 0.254).


Record 2
HfAg2B2O6 | GGA-PBE | optimized geometry

The space group is C2/m (No. 12) and the conventional cell measures 9.091, 5.286 and 6.723 Å, with angles of 90.00, 123.38 and 90.00 degrees. Symmetry generates all atoms from Hf at (0.000, 0.000, 0.000), Ag at (0.188, 0.000, 0.624), B at (0.067, 0.500, 0.783), O at (0.020, 0.275, 0.237) and O at (0.230, 0.500, 0.819).


Number 1: total energy -311.60 eV for the cell shown. Number 2: total energy -162.41 eV for the cell shown.